Entry 1:
Density functional theory data (PBE) for an optimized crystal structure of CaYMgHg.

Cell and atoms, written as POSCAR:
```
CaYMgHg
1.0
3.829 0.000 0.000
0.000 3.829 0.000
0.000 0.000 7.570
Ca Y Mg Hg
1 1 1 1
direct
0.000 0.000 0.000
0.000 0.000 0.478
0.500 0.500 0.727
0.500 0.500 0.254
```

Output
**Crystal system**: tetragonal
**Energy of formation from the pure elements**: -0.32 eV/atom
**Volume**: 111.0 Å³ per cell
**Calculated density**: 5.30 g/cm³
**Uncorrected energy**: -2.908 eV per atom

---

Entry 2:
Density functional theory data (PBE) for an optimized crystal structure of CaMg2ZnHg5.

Cell and atoms, written as POSCAR:
```
CaMg2ZnHg5
1.0
-2.513 3.172 7.426
2.513 -3.172 7.426
2.513 3.172 -7.426
Ca Mg Zn Hg
1 2 1 5
direct
0.000 0.000 0.000
0.312 0.812 0.500
0.688 0.188 0.500
0.500 0.500 0.000
0.088 0.349 0.739
0.389 0.651 0.739
0.500 0.000 0.500
0.611 0.349 0.261
0.912 0.651 0.261
```

Output
**Crystal system**: orthorhombic
**Energy of formation from the pure elements**: -0.09 eV/atom
**Volume**: 236.8 Å³ per cell
**Calculated density**: 8.12 g/cm³
**Uncorrected energy**: -0.977 eV per atom

---

Entry 3:
Density functional theory data (PBE) for an optimized crystal structure of Ca2MnHg.

Cell and atoms, written as POSCAR:
```
Ca2MnHg
1.0
-2.309 2.309 4.863
2.309 -2.309 4.863
2.309 2.309 -4.863
Ca Mn Hg
2 1 1
direct
0.000 0.000 0.000
0.750 0.250 0.500
0.500 0.500 0.000
0.250 0.750 0.500
```

Output
**Crystal system**: tetragonal
**Energy of formation from the pure elements**: 0.11 eV/atom
**Volume**: 103.7 Å³ per cell
**Calculated density**: 5.37 g/cm³
**Uncorrected energy**: -3.254 eV per atom

---

Entry 4:
Density functional theory data (PBE) for an optimized crystal structure of CaMnHg2.

Cell and atoms, written as POSCAR:
```
CaMnHg2
1.0
-1.949 2.437 4.929
1.949 -2.437 4.929
1.949 2.437 -4.929
Ca Mn Hg
1 1 2
direct
0.000 0.000 0.000
0.732 0.232 0.500
0.266 0.766 0.500
0.518 0.518 0.000
```

Output
**Crystal system**: orthorhombic
**Energy of formation from the pure elements**: 0.03 eV/atom
**Volume**: 93.6 Å³ per cell
**Calculated density**: 8.80 g/cm³
**Uncorrected energy**: -2.914 eV per atom

---

Entry 5:
Density functional theory data (PBE) for an optimized crystal structure of CaMn2Hg2.

Cell and atoms, written as POSCAR:
```
CaMn2Hg2
1.0
-1.614 1.614 9.272
1.614 -1.614 9.272
1.614 1.614 -9.272
Ca Mn Hg
1 2 2
direct
0.000 0.000 0.000
0.250 0.750 0.500
0.750 0.250 0.500
0.377 0.377 0.000
0.623 0.623 0.000
```

Output
**Crystal system**: tetragonal
**Energy of formation from the pure elements**: 0.26 eV/atom
**Volume**: 96.7 Å³ per cell
**Calculated density**: 9.47 g/cm³
**Energy above the most stable polymorph in this dataset**: 0.054 eV/atom
**Uncorrected energy**: -3.931 eV per atom

---

Entry 6:
Density functional theory data (PBE) for an optimized crystal structure of CaMn2Hg.

Cell and atoms, written as POSCAR:
```
CaMn2Hg
1.0
4.325 0.000 0.000
0.000 4.352 0.000
0.000 0.000 4.353
Ca Mn Hg
1 2 1
direct
0.000 0.000 0.000
0.000 0.500 0.500
0.500 0.000 0.500
0.500 0.500 0.000
```

Output
**Crystal system**: orthorhombic
**Energy of formation from the pure elements**: 0.36 eV/atom
**Volume**: 81.9 Å³ per cell
**Calculated density**: 7.10 g/cm³
**Uncorrected energy**: -4.805 eV per atom

---

Copy entry 4 word for word.
Density functional theory data (PBE) for an optimized crystal structure of CaMnHg2.

Cell and atoms, written as POSCAR:
```
CaMnHg2
1.0
-1.949 2.437 4.929
1.949 -2.437 4.929
1.949 2.437 -4.929
Ca Mn Hg
1 1 2
direct
0.000 0.000 0.000
0.732 0.232 0.500
0.266 0.766 0.500
0.518 0.518 0.000
```

Output
**Crystal system**: orthorhombic
**Energy of formation from the pure elements**: 0.03 eV/atom
**Volume**: 93.6 Å³ per cell
**Calculated density**: 8.80 g/cm³
**Uncorrected energy**: -2.914 eV per atom